1.
First-principles (GGA-PBE) data for a relaxed structure of BeAgCl, as listed in the Alexandria database.

POSCAR file:
```
BeAgCl
1.0
6.079 0.000 0.000
0.000 6.079 0.000
0.000 0.000 6.079
Be Ag Cl
4 4 4
Cartesian
0.000 0.000 0.000 Be
0.000 3.040 3.040 Be
3.040 0.000 3.040 Be
3.040 3.040 0.000 Be
1.520 1.520 4.559 Ag
1.520 4.559 1.520 Ag
4.559 1.520 1.520 Ag
4.559 4.559 4.559 Ag
1.520 1.520 1.520 Cl
1.520 4.559 4.559 Cl
4.559 1.520 4.559 Cl
4.559 4.559 1.520 Cl
```

Calculated values
The energy above the most stable polymorph in this dataset comes out at 742 meV per atom. Its space-group type is F-43m.

2.
First-principles (GGA-PBE) data for a relaxed structure of La2ZrNi, as listed in the Alexandria database.

POSCAR file:
```
La2ZrNi
1.0
3.433 0.000 0.000
0.000 5.121 0.000
0.000 0.000 5.458
La Zr Ni
2 1 1
Cartesian
0.000 0.000 0.000 La
1.716 0.000 2.729 La
0.000 2.561 2.729 Zr
1.716 2.561 0.000 Ni
```

Calculated values
The formation enthalpy at 0 K is 0.242 eV per atom. The energy above the most stable polymorph in this dataset comes out at 325 meV per atom. Its space-group type is Pmmm.

3.
First-principles (GGA-PBE) data for a relaxed structure of AlReMoOs2, as listed in the Alexandria database.

POSCAR file:
```
AlReMoOs2
1.0
4.336 0.000 0.000
0.000 4.336 0.000
0.000 0.000 4.415
Al Re Mo Os
1 1 1 2
Cartesian
0.000 0.000 0.000 Al
0.000 0.000 2.208 Re
2.168 2.168 2.208 Mo
0.000 2.168 0.000 Os
2.168 0.000 0.000 Os
```

Calculated values
The formation enthalpy at 0 K is 1.535 eV per atom. Its space-group type is P4/mmm.

4.
First-principles (GGA-PBE) data for a relaxed structure of In2FeI, as listed in the Alexandria database.

POSCAR file:
```
In2FeI
1.0
7.688 0.000 0.000
0.000 7.688 0.000
0.000 0.000 7.688
In Fe I
8 4 4
Cartesian
1.922 1.922 1.922 In
1.922 1.922 5.766 In
1.922 5.766 1.922 In
1.922 5.766 5.766 In
5.766 1.922 1.922 In
5.766 1.922 5.766 In
5.766 5.766 1.922 In
5.766 5.766 5.766 In
0.000 0.000 0.000 Fe
0.000 3.844 3.844 Fe
3.844 0.000 3.844 Fe
3.844 3.844 0.000 Fe
0.000 0.000 3.844 I
0.000 3.844 0.000 I
3.844 0.000 0.000 I
3.844 3.844 3.844 I
```

Calculated values
The energy above the most stable polymorph in this dataset comes out at 165 meV per atom. Its space-group type is Fm-3m.

5.
First-principles (GGA-PBE) data for a relaxed structure of LaThFe4, as listed in the Alexandria database.

POSCAR file:
```
LaThFe4
1.0
0.000 3.717 3.717
3.717 0.000 3.717
3.717 3.717 0.000
La Th Fe
1 1 4
Cartesian
0.000 0.000 0.000 La
5.576 5.576 5.576 Th
2.793 2.793 2.793 Fe
4.642 4.642 2.793 Fe
4.642 2.793 4.642 Fe
2.793 4.642 4.642 Fe
```

Calculated values
The formation enthalpy at 0 K is 0.028 eV per atom. Its space-group type is F-43m.

6.
First-principles (GGA-PBE) data for a relaxed structure of KPbSN2, as listed in the Alexandria database.

POSCAR file:
```
KPbSN2
1.0
4.626 0.000 0.000
0.000 4.626 0.000
0.000 0.000 5.375
K Pb S N
1 1 1 2
Cartesian
0.000 0.000 0.000 K
2.313 2.313 2.688 Pb
2.313 2.313 0.000 S
0.000 2.313 2.688 N
2.313 0.000 2.688 N
```

Calculated values
The energy above the most stable polymorph in this dataset comes out at 0 meV per atom. Its space-group type is P4/mmm.

7.
First-principles (GGA-PBE) data for a relaxed structure of Cs5Sc2I12, as listed in the Alexandria database.

POSCAR file:
```
Cs5Sc2I12
1.0
10.618 -4.232 0.000
10.618 4.232 0.000
-3.563 0.000 12.146
Cs Sc I
5 2 12
Cartesian
0.000 0.000 0.000 Cs
4.152 0.000 7.884 Cs
6.075 0.000 1.788 Cs
11.599 0.000 10.357 Cs
13.522 0.000 4.261 Cs
8.837 2.134 6.073 Sc
8.837 -2.134 6.073 Sc
-1.142 0.000 4.124 I
4.118 2.071 11.079 I
6.129 2.117 5.192 I
11.545 2.117 6.954 I
13.556 2.071 1.066 I
8.205 0.000 8.035 I
9.469 0.000 4.110 I
4.118 -2.071 11.079 I
6.129 -2.117 5.192 I
11.545 -2.117 6.954 I
13.556 -2.071 1.066 I
18.815 0.000 8.021 I
```

Calculated values
For the raw total energy, the calculation gives -3.163 eV/atom. Its space-group type is C2/m.

8.
First-principles (GGA-PBE) data for a relaxed structure of Er6Tm12Al, as listed in the Alexandria database.

POSCAR file:
```
Er6Tm12Al
1.0
5.808 3.353 4.889
-5.808 3.353 4.889
0.000 -6.707 4.889
Er Tm Al
6 12 1
Cartesian
-3.185 -0.744 7.651 Er
-0.949 -3.130 7.016 Er
-2.237 2.387 7.016 Er
2.237 -2.387 7.651 Er
0.949 3.130 7.651 Er
3.185 0.744 7.016 Er
-5.216 1.379 6.140 Tm
-3.803 -3.827 8.528 Tm
-2.017 -0.061 4.622 Tm
1.413 -5.207 6.140 Tm
1.061 -1.716 4.622 Tm
0.956 1.777 4.622 Tm
-0.956 -1.777 10.045 Tm
-1.061 1.716 10.045 Tm
-1.413 5.207 8.528 Tm
2.017 0.061 10.045 Tm
3.803 3.827 6.140 Tm
5.216 -1.379 8.528 Tm
0.000 0.000 7.334 Al
```

Calculated values
The formation enthalpy at 0 K is 0.097 eV per atom. Its space-group type is R-3.

9.
First-principles (GGA-PBE) data for a relaxed structure of RbCu2SbCl8, as listed in the Alexandria database.

POSCAR file:
```
RbCu2SbCl8
1.0
7.059 0.000 0.000
-3.503 6.484 0.000
-0.003 -1.221 8.364
Rb Cu Sb Cl
1 2 1 8
Cartesian
0.000 0.000 0.000 Rb
0.025 5.936 1.429 Cu
3.527 -0.673 6.934 Cu
-0.002 -0.611 4.182 Sb
0.007 1.538 2.981 Cl
-1.707 4.980 2.604 Cl
1.769 0.291 5.791 Cl
-0.040 3.686 7.722 Cl
3.592 1.577 0.642 Cl
1.784 4.972 2.572 Cl
5.260 0.282 5.760 Cl
3.546 3.725 5.383 Cl
```

Calculated values
For the raw total energy, the calculation gives -3.175 eV/atom. Its space-group type is P-1.

10.
First-principles (GGA-PBE) data for a relaxed structure of TmGa2Ir, as listed in the Alexandria database.

POSCAR file:
```
TmGa2Ir
1.0
7.929 0.000 0.000
0.000 6.844 0.000
0.000 0.000 5.451
Tm Ga Ir
4 8 4
Cartesian
0.371 1.711 0.642 Tm
3.594 5.133 3.368 Tm
4.335 1.711 2.083 Tm
7.558 5.133 4.809 Tm
1.372 0.355 3.356 Ga
1.372 3.067 3.356 Ga
2.593 3.777 0.630 Ga
2.593 6.489 0.630 Ga
5.336 0.355 4.821 Ga
5.336 3.067 4.821 Ga
6.557 3.777 2.095 Ga
6.557 6.489 2.095 Ga
0.853 5.133 1.952 Ir
3.112 1.711 4.677 Ir
4.817 5.133 0.774 Ir
7.076 1.711 3.499 Ir
```

Calculated values
The formation enthalpy at 0 K is -0.712 eV per atom. Its space-group type is Pnma.

11.
First-principles (GGA-PBE) data for a relaxed structure of TaSi2Br, as listed in the Alexandria database.

POSCAR file:
```
TaSi2Br
1.0
2.984 0.000 0.000
0.000 4.665 0.000
0.000 0.000 4.924
Ta Si Br
1 2 1
Cartesian
0.000 0.000 0.000 Ta
0.000 2.333 2.462 Si
1.492 0.000 2.462 Si
1.492 2.333 0.000 Br
```

Calculated values
The energy above the most stable polymorph in this dataset comes out at 634 meV per atom. Its space-group type is Pmmm.

12.
First-principles (GGA-PBE) data for a relaxed structure of CdTeAu, as listed in the Alexandria database.

POSCAR file:
```
CdTeAu
1.0
4.092 0.000 0.000
0.000 4.092 0.000
0.000 0.000 8.686
Cd Te Au
2 2 2
Cartesian
0.000 0.000 0.000 Cd
2.046 2.046 4.343 Cd
0.000 0.000 2.977 Te
2.046 2.046 7.320 Te
0.000 0.000 5.833 Au
2.046 2.046 1.490 Au
```

Calculated values
The energy above the most stable polymorph in this dataset comes out at 245 meV per atom. Its space-group type is I4mm.

13.
First-principles (GGA-PBE) data for a relaxed structure of ZrTaIr, as listed in the Alexandria database.

POSCAR file:
```
ZrTaIr
1.0
4.599 0.000 0.000
-2.299 3.983 0.000
0.000 0.000 2.917
Zr Ta Ir
1 1 1
Cartesian
0.000 0.000 0.000 Zr
0.000 2.655 1.864 Ta
2.299 1.328 1.020 Ir
```

Calculated values
The formation enthalpy at 0 K is -0.256 eV per atom. The energy above the most stable polymorph in this dataset comes out at 199 meV per atom. Its space-group type is P3m1.

14.
First-principles (GGA-PBE) data for a relaxed structure of LuCd2Ag, as listed in the Alexandria database.

POSCAR file:
```
LuCd2Ag
1.0
3.408 0.000 0.000
0.000 3.408 0.000
0.000 0.000 7.560
Lu Cd Ag
1 2 1
Cartesian
0.000 0.000 0.000 Lu
1.704 1.704 2.090 Cd
1.704 1.704 5.470 Cd
0.000 0.000 3.780 Ag
```

Calculated values
The formation enthalpy at 0 K is -0.167 eV per atom. Its space-group type is P4/mmm.

15.
First-principles (GGA-PBE) data for a relaxed structure of AlCdMo, as listed in the Alexandria database.

POSCAR file:
```
AlCdMo
1.0
6.174 0.000 0.000
0.000 6.174 0.000
0.000 0.000 6.174
Al Cd Mo
4 4 4
Cartesian
0.000 0.000 0.000 Al
0.000 3.087 3.087 Al
3.087 0.000 3.087 Al
3.087 3.087 0.000 Al
1.543 1.543 4.630 Cd
1.543 4.630 1.543 Cd
4.630 1.543 1.543 Cd
4.630 4.630 4.630 Cd
1.543 1.543 1.543 Mo
1.543 4.630 4.630 Mo
4.630 1.543 4.630 Mo
4.630 4.630 1.543 Mo
```

Calculated values
The formation enthalpy at 0 K is 0.654 eV per atom. The energy above the most stable polymorph in this dataset comes out at 435 meV per atom. Its space-group type is F-43m.

16.
First-principles (GGA-PBE) data for a relaxed structure of Sr2ZnIn5, as listed in the Alexandria database.

POSCAR file:
```
Sr2ZnIn5
1.0
6.767 0.000 0.000
0.000 6.767 0.000
0.000 0.000 9.937
Sr Zn In
4 2 10
Cartesian
0.000 3.383 0.000 Sr
0.000 3.383 4.968 Sr
3.383 0.000 0.000 Sr
3.383 0.000 4.968 Sr
0.000 0.000 0.996 Zn
3.383 3.383 5.964 Zn
0.000 0.000 4.685 In
1.582 1.582 7.453 In
1.582 5.185 7.453 In
1.801 1.801 2.485 In
1.801 4.966 2.485 In
3.383 3.383 9.653 In
4.966 1.801 2.485 In
4.966 4.966 2.485 In
5.185 1.582 7.453 In
5.185 5.185 7.453 In
```

Calculated values
The formation enthalpy at 0 K is -0.248 eV per atom. Its space-group type is I4mm.

17.
First-principles (GGA-PBE) data for a relaxed structure of Zr2CoSi4Ni3, as listed in the Alexandria database.

POSCAR file:
```
Zr2CoSi4Ni3
1.0
3.781 0.000 0.000
0.000 3.781 0.000
0.000 0.000 9.612
Zr Co Si Ni
2 1 4 3
Cartesian
0.000 1.890 2.356 Zr
1.890 0.000 7.256 Zr
1.890 1.890 0.000 Co
0.000 0.000 4.806 Si
0.000 1.890 8.317 Si
1.890 0.000 1.295 Si
1.890 1.890 4.806 Si
0.000 0.000 0.000 Ni
0.000 1.890 6.078 Ni
1.890 0.000 3.534 Ni
```

Calculated values
For the raw total energy, the calculation gives -7.119 eV/atom. Its space-group type is P-4m2.

18.
First-principles (GGA-PBE) data for a relaxed structure of ZrTl2Pt, as listed in the Alexandria database.

POSCAR file:
```
ZrTl2Pt
1.0
7.930 0.000 0.000
0.000 7.930 0.000
0.000 0.000 5.920
Zr Tl Pt
4 8 4
Cartesian
0.000 0.000 0.000 Zr
0.000 3.965 1.480 Zr
3.965 0.000 4.440 Zr
3.965 3.965 2.960 Zr
1.774 1.982 3.700 Tl
1.982 5.739 5.180 Tl
1.982 6.156 2.220 Tl
2.191 1.982 0.740 Tl
5.739 5.947 0.740 Tl
5.947 1.774 2.220 Tl
5.947 2.191 5.180 Tl
6.156 5.947 3.700 Tl
0.000 0.000 2.960 Pt
0.000 3.965 4.440 Pt
3.965 0.000 1.480 Pt
3.965 3.965 0.000 Pt
```

Calculated values
The formation enthalpy at 0 K is 0.039 eV per atom. The energy above the most stable polymorph in this dataset comes out at 319 meV per atom. Its space-group type is I-42d.

19.
First-principles (GGA-PBE) data for a relaxed structure of LaZrAu4, as listed in the Alexandria database.

POSCAR file:
```
LaZrAu4
1.0
0.000 4.007 4.007
4.007 0.000 4.007
4.007 4.007 0.000
La Zr Au
1 1 4
Cartesian
0.000 0.000 0.000 La
6.011 6.011 6.011 Zr
3.011 3.011 3.011 Au
5.003 5.003 3.011 Au
5.003 3.011 5.003 Au
3.011 5.003 5.003 Au
```

Calculated values
The formation enthalpy at 0 K is -0.289 eV per atom. Its space-group type is F-43m.

20.
First-principles (GGA-PBE) data for a relaxed structure of Rb2Cd2Pb15, as listed in the Alexandria database.

POSCAR file:
```
Rb2Cd2Pb15
1.0
5.710 3.297 5.808
-5.710 3.297 5.808
0.000 -6.593 5.808
Rb Cd Pb
2 2 15
Cartesian
0.000 0.000 2.853 Rb
0.000 0.000 14.569 Rb
0.000 0.000 7.189 Cd
0.000 0.000 10.234 Cd
-2.855 -1.648 5.808 Pb
0.000 -3.289 5.590 Pb
-2.848 1.644 5.590 Pb
-1.702 -2.948 8.711 Pb
-3.404 0.000 8.711 Pb
-2.848 -1.644 11.832 Pb
-2.855 1.648 11.615 Pb
1.702 -2.948 8.711 Pb
0.000 3.297 5.808 Pb
-1.702 2.948 8.711 Pb
2.848 1.644 5.590 Pb
3.404 0.000 8.711 Pb
1.702 2.948 8.711 Pb
2.848 -1.644 11.832 Pb
0.000 3.289 11.832 Pb
```

Calculated values
The formation enthalpy at 0 K is -0.009 eV per atom. Its space-group type is R-3m.